Entry 1:
A relaxed structure of HoSiRh, computed with PBE-GGA.

Cell lengths 4.131, 5.477, 5.683 Å; angles 75.96, 68.69, 67.85 degrees
Element x y z (fractional)
Si1 0.346 0.598 0.709
Si2 0.654 0.402 0.291
Ho1 0.939 0.826 0.297
Ho2 0.061 0.174 0.703
Rh1 0.306 0.285 0.103
Rh2 0.694 0.715 0.897

Properties
* space group: C2/m, No. 12



Entry 2:
A relaxed structure of CuPb3Se, computed with PBE-GGA.

Cell lengths 5.248, 5.248, 5.248 Å; angles 90.00, 90.00, 90.00 degrees
Element x y z (fractional)
Se1 0.500 0.500 0.500
Pb1 0.500 0.000 0.000
Pb2 0.000 0.500 0.000
Pb3 0.000 0.000 0.500
Cu1 0.000 0.000 0.000

Properties
* space group: Pm-3m, No. 221
* energy relative to the lowest polymorph listed for this composition: 0 meV per atom



Entry 3:
A relaxed structure of TcSeCl2, computed with PBE-GGA.

Cell lengths 3.154, 3.154, 11.540 Å; angles 90.00, 90.00, 124.86 degrees
Last column: magnetic moment on the atom in μB.
Element x y z (fractional)
Se1 0.500 0.500 0.250  0.20
Tc1 0.500 0.500 0.750  0.76
Cl1 0.000 0.000 0.913  0.04
Cl2 0.000 0.000 0.587  0.04

Properties
* space group: Cmmm, No. 65
* energy relative to the lowest polymorph listed for this composition: 534 meV per atom



no.,ΔE_f (raw) (eV/atom),ρ (g/cm³)
1,-0.983,8.9
2,0.165,8.8
3,0.176,4.4